No. 1
DFT (PBE) results for SrYNi10 after structural relaxation.

Structure (POSCAR):
```
SrYNi10
1.0
-3.829 0.952 -0.137
-0.743 -3.492 -3.469
-1.658 -5.780 6.174
Sr Y Ni
1 1 10
direct
0.000 0.000 0.000 Sr
0.000 0.500 0.500 Y
0.000 0.000 0.340 Ni
0.000 0.500 0.825 Ni
0.000 0.500 0.175 Ni
0.000 0.000 0.660 Ni
0.500 0.000 0.500 Ni
0.500 0.500 0.000 Ni
0.500 0.255 0.258 Ni
0.500 0.745 0.742 Ni
0.500 0.745 0.258 Ni
0.500 0.255 0.742 Ni
```

Computed properties:
ΔH_f (0 K): -0.167 eV per atom
mass density: 7.486 g/cm3
total moment: 0.30 μB/atom
symmetry: Pmmm (47)



No. 2
DFT (PBE) results for Ba4NaAg after structural relaxation.

Structure (POSCAR):
```
Ba4NaAg
1.0
6.653 0.000 -3.065
0.000 8.454 0.000
-1.004 0.000 11.531
Ba Na Ag
8 2 2
direct
0.548 0.250 0.431 Ba
0.452 0.750 0.569 Ba
0.676 0.250 0.855 Ba
0.324 0.750 0.145 Ba
0.916 0.007 0.277 Ba
0.084 0.507 0.723 Ba
0.916 0.493 0.277 Ba
0.084 0.993 0.723 Ba
0.329 0.250 0.060 Na
0.671 0.750 0.940 Na
0.207 0.250 0.548 Ag
0.793 0.750 0.452 Ag
```

Computed properties:
energy relative to the lowest polymorph listed for this composition: 0.000 eV per atom
ΔH_f (0 K): -0.061 eV per atom
mass density: 3.629 g/cm3
total moment: 0.00 μB/atom
symmetry: P2_1/m (11)